First-principles (PBE) data for a relaxed structure of NdWN2, as listed in the Alexandria database.

Cell and atoms, written as CIF:
```
data_NdWN2
_cell_length_a 2.8347
_cell_length_b 2.8347
_cell_length_c 5.9749
_cell_angle_alpha 90.00
_cell_angle_beta 90.00
_cell_angle_gamma 90.00
_symmetry_space_group_name_H-M 'P 4/m m m'
_symmetry_Int_Tables_number 123
_symmetry_space_group_name_Hall '-P 4 2'
loop_
_atom_site_label
_atom_site_fract_x
_atom_site_fract_y
_atom_site_fract_z
Nd1 0.0000 0.0000 0.0000
W1 0.0000 0.0000 0.5000
N1 0.5000 0.5000 0.2955
```

- Energy above the lowest structure with this stoichiometry: 0.852 eV/atom
- N(E_F): 0.296 states/eV per atom

=====

First-principles (PBE) data for a relaxed structure of NdYW2N6, as listed in the Alexandria database.

Cell and atoms, written as CIF:
```
data_NdYW2N6
_cell_length_a 11.3625
_cell_length_b 9.7957
_cell_length_c 6.4482
_cell_angle_alpha 90.00
_cell_angle_beta 112.92
_cell_angle_gamma 90.00
_symmetry_space_group_name_H-M 'C 1 2/c 1'
_symmetry_Int_Tables_number 15
_symmetry_space_group_name_Hall '-C 2yc'
loop_
_atom_site_label
_atom_site_fract_x
_atom_site_fract_y
_atom_site_fract_z
Nd1 0.0000 0.0950 0.2500
Y1 0.0000 0.2896 0.7500
W1 0.2091 0.4132 0.2134
N1 0.1141 0.1129 0.6637
N2 0.1279 0.2512 0.1474
N3 0.1499 0.4874 0.9179
```

- N(E_F): 0.000 states/eV per atom

=====

First-principles (PBE) data for a relaxed structure of NdY2WN4, as listed in the Alexandria database.

Cell and atoms, written as CIF:
```
data_NdY2WN4
_cell_length_a 3.4287
_cell_length_b 11.8953
_cell_length_c 11.9891
_cell_angle_alpha 90.00
_cell_angle_beta 90.00
_cell_angle_gamma 90.00
_symmetry_space_group_name_H-M 'C m c m'
_symmetry_Int_Tables_number 63
_symmetry_space_group_name_Hall '-C 2c 2'
loop_
_atom_site_label
_atom_site_fract_x
_atom_site_fract_y
_atom_site_fract_z
Nd1 0.0000 0.0930 0.2500
Y1 0.0000 0.3703 0.0378
W1 0.0000 0.1655 0.7500
N1 0.0000 0.0000 0.0000
N2 0.0000 0.2621 0.6224
N3 0.0000 0.4343 0.2500
```

- N(E_F): 0.277 states/eV per atom

=====

The records above give, respectively, V values of 48.0, 661.0, 489.0 Å³ per cell.
The records above give, respectively, VASP energy values of -8.645, -9.659, -9.093 eV per atom.